(1)
# Hf2TiAlC

Crystalline Hf2TiAlC at its relaxed geometry (PBE, Alexandria).

The structure in CIF format:
```
data_Hf2TiAlC
_space_group_name_H-M_alt 'P 4/m m m'
_space_group_IT_number 123
_space_group_name_Hall '-P 4 2'
_cell_length_a 4.470
_cell_length_b 4.470
_cell_length_c 4.187
_cell_angle_alpha 90.00
_cell_angle_beta 90.00
_cell_angle_gamma 90.00
loop_
_atom_site_label
_atom_site_fract_x
_atom_site_fract_y
_atom_site_fract_z
Hf1 0.000 0.500 0.000
Ti1 0.000 0.000 0.500
Al1 0.500 0.500 0.500
C1 0.000 0.000 0.000
```

=====

(2)
# La2Pr7Ho2

Crystalline La2Pr7Ho2 at its relaxed geometry (PBE, Alexandria).

The structure in CIF format:
```
data_La2Pr7Ho2
_space_group_name_H-M_alt 'C 1 2/m 1'
_space_group_IT_number 12
_space_group_name_Hall '-C 2y'
_cell_length_a 11.832
_cell_length_b 11.670
_cell_length_c 6.168
_cell_angle_alpha 90.00
_cell_angle_beta 111.93
_cell_angle_gamma 90.00
loop_
_atom_site_label
_atom_site_fract_x
_atom_site_fract_y
_atom_site_fract_z
La1 0.226 0.000 0.108
Pr1 0.000 0.000 0.500
Pr2 0.073 0.500 0.299
Pr3 0.184 0.226 0.681
Ho1 0.000 0.220 0.000
```

=====

(3)
# Ba2LiCa

Crystalline Ba2LiCa at its relaxed geometry (PBE, Alexandria).

The structure in CIF format:
```
data_Ba2LiCa
_space_group_name_H-M_alt 'P 1 m 1'
_space_group_IT_number 6
_space_group_name_Hall 'P -2y'
_cell_length_a 4.317
_cell_length_b 6.018
_cell_length_c 7.949
_cell_angle_alpha 90.00
_cell_angle_beta 105.67
_cell_angle_gamma 90.00
loop_
_atom_site_label
_atom_site_fract_x
_atom_site_fract_y
_atom_site_fract_z
Ba1 0.000 0.000 0.000
Ba2 0.333 0.500 0.671
Li1 0.727 0.000 0.464
Ca1 0.609 0.500 0.216
```

=====

Result set for E: -8.6835; -4.6384; -1.8490 eV/atom, one per record in the order listed.